Density functional theory data (PBE-GGA) for an optimized crystal structure of Pr2HIr. Values from VASP.

Geometry as Quantum ESPRESSO input:
```
&SYSTEM
  ibrav = 0, nat = 4, ntyp = 3
/
ATOMIC_SPECIES
Pr 140.91 Pr.upf
H 1.01 H.upf
Ir 192.22 Ir.upf
CELL_PARAMETERS angstrom
4.123 0.000 0.000
2.061 3.570 0.000
2.061 1.190 6.195
ATOMIC_POSITIONS crystal
Pr 0.247 0.247 0.259
Pr 0.753 0.753 0.741
H 0.500 0.500 0.500
Ir 0.000 0.000 0.000
```

Properties
DOS at the Fermi energy ... 1.463 states/eV/f.u.
E_tot ... -5.91 eV per atom
Space group ... R-3m, No. 166